1.
This record from Alexandria describes TmCuAs after structural relaxation. The functional is PBE-GGA.

Output
SG: P-6m2, No. 187
ΔH_f (0 K) (eV per atom): -0.845
Total moment (Bohr magnetons per cell): 0.0

a = 3.887 Å, b = 4.067 Å, c = 4.067 Å
α = 120.00°, β = 90.00°, γ = 90.00°
Element x y z (fractional)
Cu 0.167 0.667 0.333
As 0.166 0.000 0.000
Tm 0.667 0.333 0.667

---

2.
This record from Alexandria describes TmCuAs2 after structural relaxation. The functional is PBE-GGA.

Output
SG: P4/nmm, No. 129
ΔH_f (0 K) (eV per atom): -0.792
Total moment (Bohr magnetons per cell): 0.0

a = 3.890 Å, b = 3.890 Å, c = 9.738 Å
α = 90.00°, β = 90.00°, γ = 90.00°
Element x y z (fractional)
As 0.000 0.000 0.000
As 0.500 0.500 0.000
As 0.500 0.000 0.664
As 0.000 0.500 0.336
Cu 0.000 0.000 0.500
Cu 0.500 0.500 0.500
Tm 0.500 0.000 0.236
Tm 0.000 0.500 0.764

---

3.
This record from Alexandria describes UCu2As2 after structural relaxation. The functional is PBE-GGA.

Output
SG: P-3m1, No. 164
ΔH_f (0 K) (eV per atom): -0.367
Total moment (Bohr magnetons per cell): 2.0

a = 4.068 Å, b = 4.068 Å, c = 6.575 Å
α = 90.00°, β = 90.00°, γ = 120.00°
Last column: magnetic moment on the atom in μB.
Element x y z (fractional)
Cu 0.667 0.333 0.363  -0.03
Cu 0.333 0.667 0.637  -0.03
As 0.667 0.333 0.745  -0.05
As 0.333 0.667 0.255  -0.05
U 0.000 0.000 0.000  2.04

---

4.
This record from Alexandria describes UCuAs2 after structural relaxation. The functional is PBE-GGA.

Output
SG: R-3m, No. 166
ΔH_f (0 K) (eV per atom): 0.270
Total moment (Bohr magnetons per cell): 2.3

a = 2.998 Å, b = 2.998 Å, c = 9.846 Å
α = 81.24°, β = 81.24°, γ = 60.00°
Last column: magnetic moment on the atom in μB.
Element x y z (fractional)
As 0.101 0.101 0.697  0.00
As 0.899 0.899 0.303  0.00
U 0.000 0.000 0.000  2.06
Cu 0.500 0.500 0.500  0.03

---

5.
This record from Alexandria describes UCuAs2 after structural relaxation. The functional is PBE-GGA.

Output
SG: P4/nmm, No. 129
ΔH_f (0 K) (eV per atom): -0.487
Total moment (Bohr magnetons per cell): 4.7

a = 3.951 Å, b = 3.951 Å, c = 9.607 Å
α = 90.00°, β = 90.00°, γ = 90.00°
Last column: magnetic moment on the atom in μB.
Element x y z (fractional)
As 0.000 0.000 0.500  -0.04
As 0.500 0.000 0.166  -0.04
As 0.000 0.500 0.834  -0.04
As 0.500 0.500 0.500  -0.04
U 0.500 0.000 0.734  2.22
U 0.000 0.500 0.266  2.22
Cu 0.000 0.000 0.000  -0.01
Cu 0.500 0.500 0.000  -0.01

---

6.
This record from Alexandria describes UCuAs2 after structural relaxation. The functional is PBE-GGA.

Output
SG: P4/mmm, No. 123
ΔH_f (0 K) (eV per atom): -0.419
Total moment (Bohr magnetons per cell): 1.1

a = 3.703 Å, b = 4.417 Å, c = 4.417 Å
α = 90.00°, β = 90.00°, γ = 90.00°
Last column: magnetic moment on the atom in μB.
Element x y z (fractional)
U 0.500 0.500 0.500  1.08
As 0.000 0.000 0.500  -0.03
As 0.000 0.500 0.000  -0.03
Cu 0.500 0.000 0.000  0.01

---

7.
This record from Alexandria describes VCu2As2 after structural relaxation. The functional is PBE-GGA.

Output
SG: P4/mbm, No. 127
ΔH_f (0 K) (eV per atom): 0.075
Total moment (Bohr magnetons per cell): 0.0

a = 6.606 Å, b = 6.606 Å, c = 3.435 Å
α = 90.00°, β = 90.00°, γ = 90.00°
Element x y z (fractional)
As 0.163 0.337 0.000
As 0.663 0.163 0.000
As 0.337 0.837 0.000
As 0.837 0.663 0.000
Cu 0.861 0.361 0.500
Cu 0.361 0.139 0.500
Cu 0.639 0.861 0.500
Cu 0.139 0.639 0.500
V 0.000 0.000 0.000
V 0.500 0.500 0.000

---

8.
This record from Alexandria describes V2CuAs after structural relaxation. The functional is PBE-GGA.

Output
SG: P4/mmm, No. 123
ΔH_f (0 K) (eV per atom): -0.096
Total moment (Bohr magnetons per cell): 0.0

a = 3.967 Å, b = 3.662 Å, c = 3.662 Å
α = 90.00°, β = 90.00°, γ = 90.00°
Element x y z (fractional)
V 0.000 0.500 0.000
V 0.000 0.000 0.500
As 0.500 0.500 0.500
Cu 0.500 0.000 0.000

---

9.
This record from Alexandria describes V2CuAs after structural relaxation. The functional is PBE-GGA.

Output
SG: P4/mmm, No. 123
ΔH_f (0 K) (eV per atom): -0.023
Total moment (Bohr magnetons per cell): 0.0

a = 3.243 Å, b = 3.243 Å, c = 5.207 Å
α = 90.00°, β = 90.00°, γ = 90.00°
Element x y z (fractional)
V 0.000 0.000 0.268
V 0.000 0.000 0.732
As 0.500 0.500 0.500
Cu 0.500 0.500 0.000

---

10.
This record from Alexandria describes V2CuAs2 after structural relaxation. The functional is PBE-GGA.

Output
SG: I4/mmm, No. 139
ΔH_f (0 K) (eV per atom): 0.253
Total moment (Bohr magnetons per cell): 0.9

a = 3.644 Å, b = 3.644 Å, c = 6.518 Å
α = 73.77°, β = 73.77°, γ = 90.00°
Last column: magnetic moment on the atom in μB.
Element x y z (fractional)
Cu 0.000 0.000 0.000  0.01
As 0.250 0.750 0.500  -0.01
As 0.750 0.250 0.500  -0.01
V 0.597 0.597 0.805  0.38
V 0.403 0.403 0.195  0.38

---

11.
This record from Alexandria describes V12Cu3As5 after structural relaxation. The functional is PBE-GGA.

Output
SG: Ia-3d, No. 230
ΔH_f (0 K) (eV per atom): 0.453
Total moment (Bohr magnetons per cell): 4.1

a = 12.337 Å, b = 12.337 Å, c = 12.337 Å
α = 109.47°, β = 109.47°, γ = 109.47°
Last column: magnetic moment on the atom in μB.
Element x y z (fractional)
V 0.845 0.925 0.272  0.08
V 0.155 0.075 0.728  0.08
V 0.155 0.080 0.927  0.08
V 0.575 0.847 0.420  0.08
V 0.653 0.073 0.228  0.08
V 0.272 0.425 0.845  0.08
V 0.927 0.580 0.155  0.08
V 0.427 0.655 0.080  0.08
V 0.075 0.155 0.228  0.08
V 0.920 0.845 0.573  0.08
V 0.075 0.920 0.347  0.08
V 0.925 0.845 0.772  0.08
V 0.728 0.153 0.073  0.08
V 0.653 0.580 0.925  0.08
V 0.080 0.925 0.153  0.08
V 0.228 0.573 0.653  0.08
V 0.425 0.272 0.345  0.08
V 0.080 0.155 0.427  0.08
V 0.580 0.927 0.655  0.08
V 0.927 0.347 0.272  0.08
V 0.228 0.655 0.075  0.08
V 0.345 0.772 0.425  0.08
V 0.728 0.575 0.155  0.08
V 0.847 0.575 0.920  0.08
V 0.925 0.080 0.653  0.08
V 0.772 0.345 0.925  0.08
V 0.347 0.420 0.075  0.08
V 0.573 0.345 0.920  0.08
V 0.073 0.420 0.845  0.08
V 0.655 0.228 0.575  0.08
V 0.573 0.228 0.153  0.08
V 0.920 0.075 0.847  0.08
V 0.420 0.347 0.575  0.08
V 0.427 0.772 0.847  0.08
V 0.272 0.847 0.927  0.08
V 0.655 0.427 0.580  0.08
V 0.420 0.073 0.345  0.08
V 0.347 0.927 0.772  0.08
V 0.425 0.153 0.580  0.08
V 0.580 0.653 0.425  0.08
V 0.153 0.425 0.080  0.08
V 0.575 0.728 0.655  0.08
V 0.847 0.272 0.427  0.08
V 0.772 0.427 0.347  0.08
V 0.153 0.728 0.573  0.08
V 0.073 0.653 0.728  0.08
V 0.345 0.573 0.420  0.08
V 0.845 0.920 0.073  0.08
As 0.000 0.500 0.000  0.00
As 0.000 0.000 0.500  0.00
As 0.125 0.375 0.250  0.00
As 0.750 0.125 0.875  0.00
As 0.500 0.500 0.000  0.00
As 0.000 0.500 0.500  0.00
As 0.750 0.625 0.375  0.00
As 0.500 0.000 0.500  0.00
As 0.625 0.875 0.250  0.00
As 0.000 0.000 0.000  0.00
As 0.250 0.875 0.125  0.00
As 0.875 0.625 0.750  0.00
As 0.500 0.000 0.000  0.00
As 0.375 0.250 0.125  0.00
As 0.500 0.500 0.500  0.00
As 0.875 0.250 0.625  0.00
As 0.125 0.750 0.375  0.00
As 0.250 0.375 0.625  0.00
As 0.375 0.125 0.750  0.00
As 0.625 0.750 0.875  0.00
Cu 0.875 0.125 0.250  0.01
Cu 0.750 0.875 0.625  0.01
Cu 0.375 0.750 0.625  0.01
Cu 0.125 0.250 0.875  0.01
Cu 0.375 0.625 0.250  0.01
Cu 0.875 0.750 0.125  0.01
Cu 0.625 0.250 0.375  0.01
Cu 0.125 0.875 0.750  0.01
Cu 0.625 0.375 0.750  0.01
Cu 0.250 0.125 0.375  0.01
Cu 0.250 0.625 0.875  0.01
Cu 0.750 0.375 0.125  0.01

---

12.
This record from Alexandria describes V2CuAs after structural relaxation. The functional is PBE-GGA.

Output
SG: I-42d, No. 122
ΔH_f (0 K) (eV per atom): 0.178
Total moment (Bohr magnetons per cell): 0.0

a = 6.725 Å, b = 6.725 Å, c = 5.405 Å
α = 51.53°, β = 51.53°, γ = 90.00°
Element x y z (fractional)
Cu 0.250 0.750 0.500
Cu 0.500 0.500 0.000
As 0.000 0.000 0.000
As 0.750 0.250 0.500
V 0.117 0.625 0.250
V 0.375 0.367 0.750
V 0.875 0.883 0.750
V 0.633 0.125 0.250